Below is CeSc2Cd after structural relaxation, with properties calculated at the GGA-PBE level.

As for the size of the total moment: 0.200 μB/f.u. The calculation puts the density of states at the Fermi level at 6.26 states/eV per cell. The formation energy is -104 meV per atom. The space-group type is P4/mmm (123).

extended XYZ file:
```
4
Lattice="-0.186 -2.294 2.515 2.665 -1.665 -1.322 5.144 4.600 4.575" Properties=species:S:1:pos:R:3 pbc="T T T"
Sc 3.953 3.535 3.516
Ce 3.811 0.321 2.884
Sc 1.191 1.065 1.059
Cd 1.239 -1.979 0.597
```